Density functional theory data (PBE) for an optimized crystal structure of Tb2Ho5Th2.

Calculated total energy ... -4.938 eV/atom
E above lowest polymorph ... 0.0388 eV/atom

Structure (CIF):
```
data_Tb2Ho5Th2
_cell_length_a 22.4778
_cell_length_b 3.4683
_cell_length_c 8.0527
_cell_angle_alpha 90.00
_cell_angle_beta 99.50
_cell_angle_gamma 90.00
_space_group_name_H-M_alt 'C 1 2/m 1'
_space_group_IT_number 12
loop_
_space_group_symop_operation_xyz
'x,y,z'
'-x,-y,-z'
'-x,y,-z'
'x,-y,z'
'x+1/2,y+1/2,z'
'-x+1/2,-y+1/2,-z'
'-x+1/2,y+1/2,-z'
'x+1/2,-y+1/2,z'
loop_
_atom_site_label
_atom_site_fract_x
_atom_site_fract_y
_atom_site_fract_z
Tb1 0.1713 0.0000 0.1601
Ho1 0.0000 0.0000 0.0000
Ho2 0.0912 0.0000 0.7309
Ho3 0.1929 0.5000 0.5475
Th1 0.0528 0.5000 0.3533
```

---

Density functional theory data (PBE) for an optimized crystal structure of BeReGe.

Calculated total energy ... -6.570 eV/atom

Structure (CIF):
```
data_BeReGe
_cell_length_a 4.2255
_cell_length_b 4.2255
_cell_length_c 2.6153
_cell_angle_alpha 90.00
_cell_angle_beta 90.00
_cell_angle_gamma 120.00
_space_group_name_H-M_alt 'P 3 m 1'
_space_group_IT_number 156
loop_
_space_group_symop_operation_xyz
'x,y,z'
'-y,x-y,z'
'-x+y,-x,z'
'-y,-x,z'
'-x+y,y,z'
'x,x-y,z'
loop_
_atom_site_label
_atom_site_fract_x
_atom_site_fract_y
_atom_site_fract_z
Be1 0.0000 0.0000 0.0000
Re1 0.6667 0.3333 0.4388
Ge1 0.3333 0.6667 0.1615
```

---

Density functional theory data (PBE) for an optimized crystal structure of AgGe2PRh.

Calculated total energy ... -4.446 eV/atom

Structure (CIF):
```
data_AgGe2PRh
_cell_length_a 4.6038
_cell_length_b 4.6038
_cell_length_c 5.2231
_cell_angle_alpha 90.00
_cell_angle_beta 90.00
_cell_angle_gamma 90.00
_space_group_name_H-M_alt 'P 4/m m m'
_space_group_IT_number 123
_space_group_name_Hall '-P 4 2'
loop_
_atom_site_label
_atom_site_fract_x
_atom_site_fract_y
_atom_site_fract_z
Ag1 0.0000 0.0000 0.0000
Ge1 0.0000 0.5000 0.5000
P1 0.5000 0.5000 0.0000
Rh1 0.0000 0.0000 0.5000
```

---

Density functional theory data (PBE) for an optimized crystal structure of RbCa2Te.

ΔE_f (raw) ... -0.464 eV/atom
Calculated total energy ... -2.493 eV/atom

Structure (CIF):
```
data_RbCa2Te
_cell_length_a 10.3320
_cell_length_b 10.3320
_cell_length_c 7.3981
_cell_angle_alpha 90.00
_cell_angle_beta 90.00
_cell_angle_gamma 90.00
_space_group_name_H-M_alt 'I -4 2 d'
_space_group_IT_number 122
_space_group_name_Hall 'I -4 2bw'
loop_
_atom_site_label
_atom_site_fract_x
_atom_site_fract_y
_atom_site_fract_z
Rb1 0.0000 0.0000 0.0000
Ca1 0.1567 0.2500 0.6250
Te1 0.0000 0.0000 0.5000
```

---

Density functional theory data (PBE) for an optimized crystal structure of KCd2MoIr.

Calculated total energy ... -1.958 eV/atom
E above lowest polymorph ... 0.6411 eV/atom

Structure (CIF):
```
data_KCd2MoIr
_cell_length_a 5.1307
_cell_length_b 5.1307
_cell_length_c 4.6644
_cell_angle_alpha 90.00
_cell_angle_beta 90.00
_cell_angle_gamma 90.00
_space_group_name_H-M_alt 'P 4/m m m'
_space_group_IT_number 123
_space_group_name_Hall '-P 4 2'
loop_
_atom_site_label
_atom_site_fract_x
_atom_site_fract_y
_atom_site_fract_z
K1 0.0000 0.0000 0.0000
Cd1 0.0000 0.5000 0.0000
Mo1 0.0000 0.0000 0.5000
Ir1 0.5000 0.5000 0.5000
```

---

Density functional theory data (PBE) for an optimized crystal structure of MgUZnGe.

Calculated total energy ... -4.714 eV/atom

Structure (CIF):
```
data_MgUZnGe
_cell_length_a 6.8246
_cell_length_b 6.8246
_cell_length_c 6.8246
_cell_angle_alpha 90.00
_cell_angle_beta 90.00
_cell_angle_gamma 90.00
_space_group_name_H-M_alt 'F -4 3 m'
_space_group_IT_number 216
_space_group_name_Hall 'F -4 2 3'
loop_
_atom_site_label
_atom_site_fract_x
_atom_site_fract_y
_atom_site_fract_z
Mg1 0.0000 0.0000 0.0000
U1 0.0000 0.0000 0.5000
Zn1 0.2500 0.2500 0.2500
Ge1 0.2500 0.2500 0.7500
```

---

Density functional theory data (PBE) for an optimized crystal structure of Co2PtPb.

Calculated total energy ... -5.546 eV/atom

Structure (CIF):
```
data_Co2PtPb
_cell_length_a 3.0883
_cell_length_b 3.0883
_cell_length_c 24.6908
_cell_angle_alpha 90.00
_cell_angle_beta 90.00
_cell_angle_gamma 120.00
_space_group_name_H-M_alt 'R 3 m'
_space_group_IT_number 160
_space_group_name_Hall 'R 3 -2"'
loop_
_atom_site_label
_atom_site_fract_x
_atom_site_fract_y
_atom_site_fract_z
Co1 0.0000 0.0000 0.0000
Co2 0.0000 0.0000 0.2747
Pt1 0.0000 0.0000 0.5304
Pb1 0.0000 0.0000 0.7646
```

---

Density functional theory data (PBE) for an optimized crystal structure of Ti5SnN.

ΔE_f (raw) ... -0.371 eV/atom
Calculated total energy ... -7.771 eV/atom
E above lowest polymorph ... 0.2775 eV/atom

Structure (CIF):
```
data_Ti5SnN
_cell_length_a 3.8859
_cell_length_b 3.8859
_cell_length_c 7.0695
_cell_angle_alpha 90.00
_cell_angle_beta 90.00
_cell_angle_gamma 90.00
_space_group_name_H-M_alt 'P 4/m m m'
_space_group_IT_number 123
_space_group_name_Hall '-P 4 2'
loop_
_atom_site_label
_atom_site_fract_x
_atom_site_fract_y
_atom_site_fract_z
Ti1 0.0000 0.0000 0.0000
Ti2 0.0000 0.5000 0.3161
Sn1 0.5000 0.5000 0.0000
N1 0.5000 0.5000 0.5000
```

---

Density functional theory data (PBE) for an optimized crystal structure of TaAlFe2.

Calculated total energy ... -8.270 eV/atom

Structure (CIF):
```
data_TaAlFe2
_cell_length_a 2.9294
_cell_length_b 2.9294
_cell_length_c 6.4349
_cell_angle_alpha 90.00
_cell_angle_beta 90.00
_cell_angle_gamma 90.00
_space_group_name_H-M_alt 'P 4 m m'
_space_group_IT_number 99
loop_
_space_group_symop_operation_xyz
'x,y,z'
'-y,x,z'
'-x,-y,z'
'y,-x,z'
'-x,y,z'
'y,x,z'
'x,-y,z'
'-y,-x,z'
loop_
_atom_site_label
_atom_site_fract_x
_atom_site_fract_y
_atom_site_fract_z
Ta1 0.0000 0.0000 0.0000
Al1 0.5000 0.5000 0.3073
Fe1 0.0000 0.0000 0.5328
Fe2 0.5000 0.5000 0.7316
```

---

Density functional theory data (PBE) for an optimized crystal structure of Sc2CrGaRe.

Calculated total energy ... -6.369 eV/atom

Structure (CIF):
```
data_Sc2CrGaRe
_cell_length_a 4.8460
_cell_length_b 4.8460
_cell_length_c 4.3201
_cell_angle_alpha 90.00
_cell_angle_beta 90.00
_cell_angle_gamma 90.00
_space_group_name_H-M_alt 'P 4/m m m'
_space_group_IT_number 123
_space_group_name_Hall '-P 4 2'
loop_
_atom_site_label
_atom_site_fract_x
_atom_site_fract_y
_atom_site_fract_z
Sc1 0.0000 0.5000 0.0000
Cr1 0.0000 0.0000 0.5000
Ga1 0.0000 0.0000 0.0000
Re1 0.5000 0.5000 0.5000
```

---

Density functional theory data (PBE) for an optimized crystal structure of Cs2BaCuSn.

Calculated total energy ... -2.173 eV/atom

Structure (CIF):
```
data_Cs2BaCuSn
_cell_length_a 6.8042
_cell_length_b 6.8042
_cell_length_c 5.1027
_cell_angle_alpha 90.00
_cell_angle_beta 90.00
_cell_angle_gamma 90.00
_space_group_name_H-M_alt 'P 4/m m m'
_space_group_IT_number 123
_space_group_name_Hall '-P 4 2'
loop_
_atom_site_label
_atom_site_fract_x
_atom_site_fract_y
_atom_site_fract_z
Cs1 0.0000 0.5000 0.0000
Ba1 0.0000 0.0000 0.5000
Cu1 0.5000 0.5000 0.0000
Sn1 0.5000 0.5000 0.5000
```

---

Density functional theory data (PBE) for an optimized crystal structure of Co5Ru.

Calculated total energy ... -7.284 eV/atom
E above lowest polymorph ... 0.1004 eV/atom

Structure (CIF):
```
data_Co5Ru
_cell_length_a 6.5805
_cell_length_b 6.5805
_cell_length_c 6.5805
_cell_angle_alpha 90.00
_cell_angle_beta 90.00
_cell_angle_gamma 90.00
_space_group_name_H-M_alt 'F -4 3 m'
_space_group_IT_number 216
_space_group_name_Hall 'F -4 2 3'
loop_
_atom_site_label
_atom_site_fract_x
_atom_site_fract_y
_atom_site_fract_z
Co1 0.0000 0.0000 0.0000
Co2 0.1253 0.1253 0.3747
Ru1 0.2500 0.2500 0.7500
```

---

Density functional theory data (PBE) for an optimized crystal structure of ZrCr2Os.

Calculated total energy ... -9.561 eV/atom
E above lowest polymorph ... 0.1407 eV/atom

Structure (CIF):
```
data_ZrCr2Os
_cell_length_a 5.3497
_cell_length_b 8.4882
_cell_length_c 2.7749
_cell_angle_alpha 90.00
_cell_angle_beta 110.34
_cell_angle_gamma 90.00
_space_group_name_H-M_alt 'C 1 2/m 1'
_space_group_IT_number 12
loop_
_space_group_symop_operation_xyz
'x,y,z'
'-x,-y,-z'
'-x,y,-z'
'x,-y,z'
'x+1/2,y+1/2,z'
'-x+1/2,-y+1/2,-z'
'-x+1/2,y+1/2,-z'
'x+1/2,-y+1/2,z'
loop_
_atom_site_label
_atom_site_fract_x
_atom_site_fract_y
_atom_site_fract_z
Zr1 0.0000 0.0000 0.0000
Cr1 0.2500 0.2500 0.5000
Os1 0.0000 0.5000 0.0000
```

---

Total magnetic moment: 0.00; 0.00; 0.00; 0.00; 2.83; 2.13; 4.17; 0.00; 4.07; 0.00; 0.00; 10.18; 0.00 (μB per formula unit)